# PBE Sm4ErTm3, relaxed
# **Total magnetization**: 0.00 μB per cell
# **E above lowest polymorph**: 0 meV per atom
data_Sm4ErTm3
_cell_length_a 11.351
_cell_length_b 7.270
_cell_length_c 6.268
_cell_angle_alpha 90.00
_cell_angle_beta 90.00
_cell_angle_gamma 90.00
_space_group_name_H-M_alt 'P 1'
_space_group_IT_number 1
loop_
_space_group_symop_operation_xyz
'x,y,z'
loop_
_atom_site_label
_atom_site_fract_x
_atom_site_fract_y
_atom_site_fract_z
Sm1 0.000 0.128 0.000
Sm2 0.000 0.872 0.498
Sm3 0.249 0.872 0.834
Sm4 0.251 0.128 0.334
Sm5 0.500 0.128 0.998
Sm6 0.500 0.872 0.500
Sm7 0.749 0.128 0.334
Sm8 0.751 0.872 0.834
Er1 0.000 0.378 0.501
Er2 0.500 0.622 0.001
Tm1 0.000 0.621 0.000
Tm2 0.250 0.379 0.833
Tm3 0.250 0.621 0.333
Tm4 0.500 0.379 0.500
Tm5 0.750 0.379 0.833
Tm6 0.750 0.621 0.333

---

# PBE Sm2ErTm, relaxed
# **Total magnetization**: 0.00 μB per cell
# **E above lowest polymorph**: 0 meV per atom
data_Sm2ErTm
_cell_length_a 5.681
_cell_length_b 7.276
_cell_length_c 6.280
_cell_angle_alpha 90.00
_cell_angle_beta 90.00
_cell_angle_gamma 90.00
_space_group_name_H-M_alt 'P 1'
_space_group_IT_number 1
loop_
_space_group_symop_operation_xyz
'x,y,z'
loop_
_atom_site_label
_atom_site_fract_x
_atom_site_fract_y
_atom_site_fract_z
Sm1 0.250 0.000 0.169
Sm2 0.250 0.500 0.169
Sm3 0.750 0.000 0.831
Sm4 0.750 0.500 0.831
Er1 0.250 0.250 0.664
Er2 0.750 0.750 0.336
Tm1 0.250 0.750 0.664
Tm2 0.750 0.250 0.336

---

# PBE Sm2Er4Tm5, relaxed
# **Total magnetization**: 0.00 μB per cell
data_Sm2Er4Tm5
_cell_length_a 3.517
_cell_length_b 8.618
_cell_length_c 11.667
_cell_angle_alpha 75.80
_cell_angle_beta 81.37
_cell_angle_gamma 89.97
_space_group_name_H-M_alt 'P 1'
_space_group_IT_number 1
loop_
_space_group_symop_operation_xyz
'x,y,z'
loop_
_atom_site_label
_atom_site_fract_x
_atom_site_fract_y
_atom_site_fract_z
Sm1 0.092 0.228 0.317
Sm2 0.908 0.772 0.683
Er1 0.182 0.954 0.136
Er2 0.454 0.139 0.593
Er3 0.546 0.861 0.407
Er4 0.818 0.046 0.864
Tm1 0.000 0.500 0.500
Tm2 0.272 0.682 0.956
Tm3 0.363 0.408 0.774
Tm4 0.637 0.592 0.226
Tm5 0.728 0.318 0.044

---

Number 1: ΔH_f (0 K) 0.16 eV/f.u., total DFT energy (no corrections) -36.7 eV per formula unit, D(E_F) 1.82 states/eV/atom. Number 2: ΔH_f (0 K) 0.06 eV/f.u., total DFT energy (no corrections) -18.4 eV per formula unit, D(E_F) 1.68 states/eV/atom. Number 3: ΔH_f (0 K) 0.26 eV/f.u., total DFT energy (no corrections) -49.8 eV per formula unit, D(E_F) 1.35 states/eV/atom.